Density functional theory data (PBE) for an optimized crystal structure of Sr3H5I.

Cell lengths 4.077, 6.931, 12.010 Å; angles 90.00, 90.00, 107.11 degrees
Atoms (fractional coordinates):
Sr1 0.375 0.751 0.967
Sr2 0.913 0.827 0.250
Sr3 0.375 0.751 0.533
Sr4 0.625 0.249 0.467
Sr5 0.087 0.173 0.750
Sr6 0.625 0.249 0.033
H1 0.809 0.617 0.435
H2 0.191 0.383 0.935
H3 0.000 0.000 0.500
H4 0.000 0.000 0.000
H5 0.462 0.924 0.143
H6 0.538 0.076 0.857
H7 0.538 0.076 0.643
H8 0.809 0.617 0.065
H9 0.191 0.383 0.565
H10 0.462 0.924 0.357
I1 0.817 0.634 0.750
I2 0.183 0.366 0.250

## Properties
* calculated total energy: -3.346 eV per atom
* density of states at the Fermi level: 0.0 states/eV/cell
* symmetry: No. 63